# 1
Compound: BaCeCoS4
Source: Alexandria
Functional: GGA-PBE
Structure: optimized geometry

Summary:
E_form (uncorrected): -1.33 eV per atom

Cell: 6.1035 15.7392 6.3967 Å, 90.00 90.00 90.00°
Space group Cmcm (No. 63)
Symmetry-distinct sites (fractional):
Ba  0.0000  0.1050  0.2500 (multiplicity 4)
Ce  0.0000  0.3761  0.2500 (multiplicity 4)
Co  0.0000  0.2255  0.7500 (multiplicity 4)
S  0.0000  0.0881  0.7500 (multiplicity 4)
S  0.0000  0.4485  0.7500 (multiplicity 4)
S  0.2500  0.2500  0.0000 (multiplicity 8)



# 2
Compound: BaCeCrN3
Source: Alexandria
Functional: GGA-PBE
Structure: optimized geometry

Summary:
E_form (uncorrected): -0.87 eV per atom

Cell: 13.5013 3.8046 7.5774 Å, 90.00 105.49 90.00°
Space group C2/m (No. 12)
Symmetry-distinct sites (fractional):
Ba  0.1379  0.0000  0.0724 (multiplicity 4)
Ce  0.1531  0.0000  0.5724 (multiplicity 4)
Cr  0.0018  0.5000  0.6860 (multiplicity 4)
N  0.0033  0.0000  0.3038 (multiplicity 4)
N  0.1458  0.5000  0.7775 (multiplicity 4)
N  0.1598  0.5000  0.3719 (multiplicity 4)



# 3
Compound: Ba2CeCr2N6
Source: Alexandria
Functional: GGA-PBE
Structure: optimized geometry

Summary:
E_form (uncorrected): -0.85 eV per atom

Cell: 10.5900 5.9780 7.0439 Å, 90.00 122.12 90.00°
Space group C2/m (No. 12)
Symmetry-distinct sites (fractional):
Ba  0.2155  0.0000  0.1939 (multiplicity 4)
Ce  0.0000  0.0000  0.5000 (multiplicity 2)
Cr  0.0459  0.5000  0.2070 (multiplicity 4)
N  0.0331  0.2591  0.7726 (multiplicity 8)
N  0.2346  0.5000  0.3362 (multiplicity 4)



# 4
Compound: Ba4Ce3CrN8
Source: Alexandria
Functional: GGA-PBE
Structure: optimized geometry

Summary:
E_form (uncorrected): -0.70 eV per atom

Cell: 12.7424 7.1006 7.5256 Å, 90.00 123.06 90.00°
Space group C2/m (No. 12)
Symmetry-distinct sites (fractional):
Ba  0.0000  0.0000  0.0000 (multiplicity 2)
Ba  0.0000  0.5000  0.0000 (multiplicity 2)
Ba  0.2500  0.2500  0.0000 (multiplicity 4)
Ce  0.0000  0.0000  0.5000 (multiplicity 2)
Ce  0.2500  0.2500  0.5000 (multiplicity 4)
Cr  0.0000  0.5000  0.5000 (multiplicity 2)
N  0.0142  0.2733  0.3199 (multiplicity 8)
N  0.2285  0.0000  0.6876 (multiplicity 4)
N  0.2460  0.5000  0.7060 (multiplicity 4)



Mass density: 5.02; 6.58; 5.30; 6.60 (g cm⁻³)